# 1
# Na2Tl2F7, optimized geometry, DFT PBE
# Calculated volume   16.270 Å³/atom
# Spin magnetization   0.00 μB per cell
# Calculated total energy   -87.78 eV/cell
data_Na2Tl2F7
_space_group_name_H-M_alt 'C m m m'
_space_group_IT_number 65
_space_group_name_Hall '-C 2 2'
_cell_length_a 7.611
_cell_length_b 8.298
_cell_length_c 5.667
_cell_angle_alpha 90.00
_cell_angle_beta 90.00
_cell_angle_gamma 90.00
loop_
_atom_site_label
_atom_site_type_symbol
_atom_site_fract_x
_atom_site_fract_y
_atom_site_fract_z
Na1 Na 0.228 0.000 0.000
Tl1 Tl 0.000 0.228 0.500
F1 F 0.000 0.000 0.261
F2 F 0.000 0.500 0.500
F3 F 0.250 0.250 0.251

***

# 2
# Na2Tl4F, optimized geometry, DFT PBE
# Calculated volume   32.456 Å³/atom
# Spin magnetization   0.00 μB per cell
# Calculated total energy   -33.38 eV/cell
data_Na2Tl4F
_space_group_name_H-M_alt 'I 4/m m m'
_space_group_IT_number 139
_space_group_name_Hall '-I 4 2'
_cell_length_a 5.257
_cell_length_b 5.257
_cell_length_c 16.445
_cell_angle_alpha 90.00
_cell_angle_beta 90.00
_cell_angle_gamma 90.00
loop_
_atom_site_label
_atom_site_type_symbol
_atom_site_fract_x
_atom_site_fract_y
_atom_site_fract_z
Na1 Na 0.000 0.000 0.137
Tl1 Tl 0.000 0.000 0.339
Tl2 Tl 0.000 0.500 0.000
F1 F 0.000 0.000 0.500

***

- Which value of calculated total energy does entry 2 give?
  -33.38 eV/cell

***

- Number 2 is which compound?
  Na2Tl4F